! PBE BaCu2Pb2, optimized geometry; values from VASP
&SYSTEM
  ibrav = 0, nat = 5, ntyp = 3
/
ATOMIC_SPECIES
Ba 137.33 Ba.upf
Cu 63.55 Cu.upf
Pb 207.20 Pb.upf
ATOMIC_POSITIONS crystal
Ba 0.000 0.000 0.000
Cu 0.392 0.392 0.000
Cu 0.608 0.608 0.000
Pb 0.250 0.750 0.500
Pb 0.750 0.250 0.500
CELL_PARAMETERS angstrom
-2.383 2.383 5.780
2.383 -2.383 5.780
2.383 2.383 -5.780
! Crystal system: tetragonal
! Space-group type: I4/mmm
! Energy of formation, meV/atom: -131

***

! PBE TiOsPb, optimized geometry; values from VASP
&SYSTEM
  ibrav = 0, nat = 6, ntyp = 3
/
ATOMIC_SPECIES
Ti 47.87 Ti.upf
Os 190.23 Os.upf
Pb 207.20 Pb.upf
ATOMIC_POSITIONS crystal
Ti 0.250 0.000 0.108
Ti 0.750 0.000 0.892
Os 0.250 0.500 0.888
Os 0.750 0.500 0.112
Pb 0.250 0.500 0.366
Pb 0.750 0.500 0.634
CELL_PARAMETERS angstrom
4.191 0.000 0.000
0.000 3.168 0.000
0.000 0.000 9.637
! Crystal system: orthorhombic
! Space-group type: Pmma
! Energy of formation, meV/atom: -15

***

! PBE CoIr4Pb, optimized geometry; values from VASP
&SYSTEM
  ibrav = 0, nat = 6, ntyp = 3
/
ATOMIC_SPECIES
Co 58.93 Co.upf
Ir 192.22 Ir.upf
Pb 207.20 Pb.upf
ATOMIC_POSITIONS crystal
Co 0.000 0.000 0.000
Ir 0.123 0.626 0.626
Ir 0.626 0.123 0.626
Ir 0.626 0.626 0.123
Ir 0.626 0.626 0.626
Pb 0.250 0.250 0.250
CELL_PARAMETERS angstrom
0.000 3.727 3.727
3.727 0.000 3.727
3.727 3.727 0.000
! Crystal system: cubic
! Space-group type: F-43m
! Energy of formation, meV/atom: 638

***

! PBE SrAgTeSe3, optimized geometry; values from VASP
&SYSTEM
  ibrav = 0, nat = 12, ntyp = 4
/
ATOMIC_SPECIES
Sr 87.62 Sr.upf
Ag 107.87 Ag.upf
Te 127.60 Te.upf
Se 78.96 Se.upf
ATOMIC_POSITIONS crystal
Sr 0.212 0.250 0.266
Sr 0.788 0.750 0.734
Ag 0.082 0.250 0.586
Ag 0.918 0.750 0.414
Te 0.297 0.750 0.878
Te 0.703 0.250 0.122
Se 0.120 0.250 0.893
Se 0.246 0.750 0.519
Se 0.422 0.750 0.162
Se 0.578 0.250 0.838
Se 0.754 0.250 0.481
Se 0.880 0.750 0.107
CELL_PARAMETERS angstrom
8.409 0.000 0.000
0.000 4.578 0.000
-1.841 0.000 8.965
! Crystal system: monoclinic
! Space-group type: P2_1/m
! Formation energy from raw total energies, kJ/mol of atoms: -57.83

***

! PBE TiHCl2, optimized geometry; values from VASP
&SYSTEM
  ibrav = 0, nat = 4, ntyp = 3
/
ATOMIC_SPECIES
Ti 47.87 Ti.upf
H 1.01 H.upf
Cl 35.45 Cl.upf
ATOMIC_POSITIONS crystal
Ti 0.000 0.000 0.000
H 0.500 0.500 0.500
Cl 0.250 0.250 0.250
Cl 0.750 0.750 0.750
CELL_PARAMETERS angstrom
0.000 3.096 3.096
3.096 0.000 3.096
3.096 3.096 0.000
! Crystal system: cubic
! Total DFT energy (no corrections), eV/atom: -4.07
! Space-group type: Fm-3m

***

! PBE LaCu2Tc, optimized geometry; values from VASP
&SYSTEM
  ibrav = 0, nat = 4, ntyp = 3
/
ATOMIC_SPECIES
La 138.91 La.upf
Cu 63.55 Cu.upf
Tc 98.00 Tc.upf
ATOMIC_POSITIONS crystal
La 0.000 0.000 0.000
Cu 0.238 0.238 0.238
Cu 0.762 0.762 0.762
Tc 0.500 0.500 0.500
CELL_PARAMETERS angstrom
1.468 0.848 9.402
-1.468 0.848 9.402
0.000 -1.695 9.402
! Crystal system: trigonal
! Space-group type: R-3m
! Energy of formation, meV/atom: 627

***

Quick rundown of magnetic moment, same order as above: 0.0; 0.0; 4.5; 0.0; 1.0; 1.1 μB per cell
Quick rundown of N(E_F), same order as above: 2.574; 3.573; 11.108; 2.261; 0.577; 4.832 states/eV/cell